Material: ScNbN2O
Method: DFT, PBE
State: optimized geometry

Output
E in eV per cell: -92.65

a b c (Å): 3.496 6.146 5.651
angles (deg): 90.00 90.00 90.00
Space group Pmc2_1 (No. 26)
One atom of each set of equivalent atoms:
Sc: 0.000 0.169 0.000 (multiplicity 2)
Nb: 0.500 0.311 0.538 (multiplicity 2)
N: 0.000 0.173 0.612 (multiplicity 2)
N: 0.500 0.405 0.895 (multiplicity 2)
O: 0.500 0.134 0.234 (multiplicity 2)

=====

Material: KSmZnTe3
Method: DFT, PBE
State: optimized geometry

Output
Polymorph energy (0 for the lowest one) in meV/atom: 18

a b c (Å): 16.157 4.441 11.939
angles (deg): 90.00 90.00 90.00
Space group Pnma (No. 62)
One atom of each set of equivalent atoms:
K: 0.234 0.250 0.036 (multiplicity 4)
Sm: 0.023 0.250 0.345 (multiplicity 4)
Zn: 0.016 0.750 0.099 (multiplicity 4)
Te: 0.084 0.750 0.887 (multiplicity 4)
Te: 0.102 0.250 0.580 (multiplicity 4)
Te: 0.140 0.750 0.244 (multiplicity 4)

=====

Material: Fe2CoIr
Method: DFT, PBE
State: optimized geometry

Output
DFT formation energy in eV per atom: 0.048

a b c (Å): 5.802 5.802 5.802
angles (deg): 90.00 90.00 90.00
Space group F-43m (No. 216)
One atom of each set of equivalent atoms:
Fe: 0.000 0.000 0.000 (multiplicity 4)
Fe: 0.250 0.250 0.250 (multiplicity 4)
Co: 0.250 0.250 0.750 (multiplicity 4)
Ir: 0.000 0.000 0.500 (multiplicity 4)

=====

Material: HoPbAuS3
Method: DFT, PBE
State: optimized geometry

Output
Polymorph energy (0 for the lowest one) in meV/atom: 14

a b c (Å): 7.638 3.987 9.743
angles (deg): 90.00 107.05 90.00
Space group P2_1/m (No. 11)
One atom of each set of equivalent atoms:
Ho: 0.191 0.250 0.162 (multiplicity 2)
Pb: 0.232 0.750 0.706 (multiplicity 2)
Au: 0.368 0.750 0.415 (multiplicity 2)
S: 0.072 0.250 0.872 (multiplicity 2)
S: 0.182 0.250 0.453 (multiplicity 2)
S: 0.443 0.750 0.181 (multiplicity 2)

=====

Material: Nd2Dy2CI2BrCl2
Method: DFT, PBE
State: optimized geometry

Output
Polymorph energy (0 for the lowest one) in meV/atom: 29

a b c (Å): 17.951 3.901 8.274
angles (deg): 90.00 102.23 90.00
Space group C2/m (No. 12)
One atom of each set of equivalent atoms:
Nd: 0.143 0.000 0.070 (multiplicity 4)
Dy: 0.004 0.500 0.803 (multiplicity 4)
C: 0.000 0.000 0.000 (multiplicity 2)
I: 0.165 0.500 0.369 (multiplicity 4)
Br: 0.000 0.000 0.500 (multiplicity 2)
Cl: 0.164 0.500 0.830 (multiplicity 4)

=====

Material: NbNi2Ir
Method: DFT, PBE
State: optimized geometry

Output
DFT formation energy in eV per atom: -0.415

a b c (Å): 5.348 9.247 4.317
angles (deg): 90.00 90.00 90.00
Space group Cmcm (No. 63)
One atom of each set of equivalent atoms:
Nb: 0.000 0.168 0.250 (multiplicity 4)
Ni: 0.249 0.422 0.250 (multiplicity 8)
Ir: 0.000 0.338 0.750 (multiplicity 4)

=====

Material: NpFeSn
Method: DFT, PBE
State: optimized geometry

Output
E in eV per cell: -99.80

a b c (Å): 6.378 6.378 6.378
angles (deg): 90.00 90.00 90.00
Space group F-43m (No. 216)
One atom of each set of equivalent atoms:
Np: 0.000 0.000 0.000 (multiplicity 4)
Fe: 0.250 0.250 0.250 (multiplicity 4)
Sn: 0.000 0.000 0.500 (multiplicity 4)

=====

Material: Ho5Lu3S
Method: DFT, PBE
State: optimized geometry

Output
E in eV per cell: -43.97

a b c (Å): 8.9042 8.9042 3.6919
angles (deg): 90.00 90.00 120.00
Space group P-62m (No. 189)
One atom of each set of equivalent atoms:
Ho: 0.0000 0.2459 0.0000 (multiplicity 3)
Ho: 0.3333 0.6667 0.0000 (multiplicity 2)
Lu: 0.0000 0.6019 0.5000 (multiplicity 3)
S: 0.0000 0.0000 0.5000 (multiplicity 1)

=====

Please write out number 2 again, unchanged.
Material: KSmZnTe3
Method: DFT, PBE
State: optimized geometry

Output
Polymorph energy (0 for the lowest one) in meV/atom: 18

a b c (Å): 16.157 4.441 11.939
angles (deg): 90.00 90.00 90.00
Space group Pnma (No. 62)
One atom of each set of equivalent atoms:
K: 0.234 0.250 0.036 (multiplicity 4)
Sm: 0.023 0.250 0.345 (multiplicity 4)
Zn: 0.016 0.750 0.099 (multiplicity 4)
Te: 0.084 0.750 0.887 (multiplicity 4)
Te: 0.102 0.250 0.580 (multiplicity 4)
Te: 0.140 0.750 0.244 (multiplicity 4)

=====

> What is the formula in the sixth record?

NbNi2Ir